This record from Alexandria via LeMat-Bulk describes crystalline BeAs2Ir at its relaxed geometry. The functional is GGA-PBE.

Cell lengths 3.1676, 4.2321, 4.5169 Å; angles 90.00, 90.00, 90.00 degrees
Last column: nearest neighbours and their distance in Å.
Atoms (fractional coordinates):
Be 0.0000 0.0000 0.0000  4 Ir 2.64, 4 As 2.76
As 0.0000 0.5000 0.5000  4 As 2.64, 4 Ir 2.76
As 0.5000 0.0000 0.5000  4 As 2.64, 4 Be 2.76
Ir 0.5000 0.5000 0.0000  4 Be 2.64, 4 As 2.76

## Properties
Magnetic moment   0.00 μB/f.u.
Electronic total energy   -5.05 eV/atom
Energy relative to the elements   0.422 eV per atom